[1]
# TbTmSi2Os

A relaxed TbTmSi2Os crystal (GGA-PBE, OQMD via LeMat-Bulk).

Lattice parameters (Å, degrees): 5.6920 5.6920 9.9601 116.38 116.38 43.48
Fractional coordinates of all 10 atoms:
Tm  0.9940  0.9940  0.8234
Tm  0.0060  0.0060  0.1766
Os  0.7313  0.7313  0.8739
Os  0.2687  0.2687  0.1261
Si  0.3580  0.3580  0.9402
Si  0.6420  0.6420  0.0598
Si  0.5036  0.5036  0.3741
Si  0.4964  0.4964  0.6259
Tb  0.1873  0.1873  0.6109
Tb  0.8127  0.8127  0.3891

- ΔE to the lowest computed polymorph: 0.0 meV per atom
- E_tot: -7.04 eV per atom
- Crystal system: monoclinic
- SG: C2/m (12)
- Total moment: 0.02 μB/f.u.



[2]
# TbTmSi2Os

A relaxed TbTmSi2Os crystal (GGA-PBE, OQMD via LeMat-Bulk).

Lattice parameters (Å, degrees): 5.7408 5.7408 9.9563 116.86 116.86 43.11
Fractional coordinates of all 10 atoms:
Si  0.4972  0.4972  0.6235
Si  0.5028  0.5028  0.3765
Si  0.3548  0.3548  0.9385
Si  0.6452  0.6452  0.0615
Tb  0.9899  0.9899  0.8195
Tb  0.0101  0.0101  0.1805
Tm  0.1835  0.1835  0.6103
Tm  0.8165  0.8165  0.3897
Os  0.7293  0.7293  0.8719
Os  0.2707  0.2707  0.1281

- ΔE to the lowest computed polymorph: 17.6 meV per atom
- E_tot: -7.03 eV per atom
- Crystal system: monoclinic
- SG: C2/m (12)
- Total moment: 0.08 μB/f.u.